No. 1
VASP calculation (SCAN) on CaY2Se at its PBEsol-relaxed geometry.

Structure (POSCAR):
```
CaY2Se
1.0
-3.0199 -0.7707 -2.1361
1.7791 -5.6150 -0.4894
-3.8000 1.4812 4.8379
Se Ca Y
1 1 2
Cartesian
-2.5204 -2.4522 1.1062
-3.4100 0.3553 1.3509
0.0280 -1.5928 0.5350
-2.0489 -2.5410 3.8134
```

Properties
Size of the total moment = 0.00 μB per atom
Density of states at the Fermi level = 1.224 states/eV/atom
Energy relative to the lowest polymorph listed for this composition = 0 kJ/mol of formula units
E_tot = -88.496 eV/cell
Calculated volume = 125.0 Å³ per cell

No. 2
VASP calculation (SCAN) on CaY2Se at its PBEsol-relaxed geometry.

Structure (POSCAR):
```
CaY2Se
1.0
3.5143 0.0000 0.0000
0.0000 3.5143 0.0000
0.0000 0.0000 9.2835
Y Se Ca
2 1 1
Cartesian
0.0000 0.0000 2.9346
0.0000 0.0000 6.3489
1.7572 1.7572 4.6417
1.7572 1.7572 0.0000
```

Properties
Size of the total moment = 0.45 μB per atom
Density of states at the Fermi level = 1.165 states/eV/atom
Energy relative to the lowest polymorph listed for this composition = 16 kJ/mol of formula units
E_tot = -88.332 eV/cell
Calculated volume = 114.7 Å³ per cell

No. 3
VASP calculation (SCAN) on CaYSe4 at its PBEsol-relaxed geometry.

Structure (POSCAR):
```
CaYSe4
1.0
-2.0626 4.1900 3.4628
0.7448 -0.3559 5.7550
3.6709 3.6212 2.6855
Se Ca Y
4 1 1
Cartesian
-0.1470 4.8891 6.1947
1.2548 2.6194 7.3392
0.8829 2.7971 4.4658
2.7157 4.6051 5.8067
0.0000 0.0000 0.0000
1.7649 5.5915 8.9274
```

Properties
Size of the total moment = 0.00 μB per atom
Density of states at the Fermi level = 0.736 states/eV/atom
E_tot = -119.333 eV/cell
Calculated volume = 139.0 Å³ per cell

No. 4
VASP calculation (SCAN) on CaYSe2 at its PBEsol-relaxed geometry.

Structure (POSCAR):
```
CaYSe2
1.0
-0.2844 2.7143 3.0194
-3.4822 -1.7195 1.2178
2.9478 -3.5273 3.4485
Se Y Ca
2 1 1
Cartesian
-1.8833 0.4974 2.1186
1.4739 -1.7636 1.7242
0.0000 0.0000 0.0000
-0.4094 -1.2663 3.8428
```

Properties
Size of the total moment = 0.00 μB per atom
Density of states at the Fermi level = 0.262 states/eV/atom
Energy relative to the lowest polymorph listed for this composition = 1 kJ/mol of formula units
E_tot = -86.130 eV/cell
Calculated volume = 95.2 Å³ per cell

No. 5
VASP calculation (SCAN) on CaZn3Se4 at its PBEsol-relaxed geometry.

Structure (POSCAR):
```
CaZn3Se4
1.0
-4.8410 -1.7568 -2.7871
3.2029 -1.3493 -4.7128
0.7717 -5.4206 2.0764
Ca Zn Se
1 3 4
Cartesian
0.0000 0.0000 0.0000
-0.8190 -1.5530 -3.7499
-2.0347 -3.5887 -0.3554
1.9873 -3.3849 -1.3182
-0.9874 -3.7310 -4.9141
-2.1056 -5.6036 -1.7914
-0.2339 -2.3024 -1.4645
1.5942 -5.4162 -2.6771
```

Properties
Size of the total moment = 0.00 μB per atom
Density of states at the Fermi level = 0.000 states/eV/atom
E_tot = -138.593 eV/cell
Calculated volume = 200.8 Å³ per cell

No. 6
VASP calculation (SCAN) on Ca3ZrSe at its PBEsol-relaxed geometry.

Structure (POSCAR):
```
Ca3ZrSe
1.0
-4.4305 2.9060 -1.4755
1.1055 -1.0025 -5.2938
-3.0660 -4.5609 0.2235
Ca Se Zr
3 1 1
Cartesian
0.5527 -0.5013 -2.6469
-1.5330 -2.2804 0.1117
-2.2152 1.4530 -0.7378
0.0000 0.0000 0.0000
-3.1955 -1.3287 -3.2729
```

Properties
Size of the total moment = 0.86 μB per atom
Density of states at the Fermi level = 0.738 states/eV/atom
E_tot = -81.278 eV/cell
Calculated volume = 166.4 Å³ per cell

No. 7
VASP calculation (SCAN) on CaZr2Se at its PBEsol-relaxed geometry.

Structure (POSCAR):
```
CaZr2Se
1.0
3.5017 -0.0003 0.0000
-0.0235 4.6547 0.0000
-1.7391 -2.3272 5.5766
Se Ca Zr
1 1 2
Cartesian
-0.0118 2.3274 0.0000
1.7508 -0.0001 0.0000
-0.8695 -1.1636 2.7883
0.8695 1.1636 2.7883
```

Properties
Size of the total moment = 0.00 μB per atom
Density of states at the Fermi level = 0.854 states/eV/atom
E_tot = -92.026 eV/cell
Calculated volume = 90.9 Å³ per cell

No. 8
VASP calculation (SCAN) on CaZr2Se at its PBEsol-relaxed geometry.

Structure (POSCAR):
```
CaZr2Se
1.0
-1.7623 1.7915 -2.3238
-4.2056 -0.8032 2.5702
0.7999 4.1786 2.6147
Se Ca Zr
1 1 2
Cartesian
-0.8812 0.8957 -1.1619
-2.5840 2.5835 1.4305
-2.1028 -0.4016 1.2851
0.4000 2.0893 1.3074
```

Properties
Size of the total moment = 0.24 μB per atom
Density of states at the Fermi level = 0.805 states/eV/atom
E_tot = -90.956 eV/cell
Calculated volume = 85.4 Å³ per cell

No. 9
VASP calculation (SCAN) on CaZr2Se at its PBEsol-relaxed geometry.

Structure (POSCAR):
```
CaZr2Se
1.0
3.2913 0.0000 0.0000
0.0000 3.2913 0.0000
0.0000 0.0000 8.7985
Ca Zr Se
1 2 1
Cartesian
1.6457 1.6457 0.0000
0.0000 0.0000 2.8165
0.0000 0.0000 5.9820
1.6457 1.6457 4.3992
```

Properties
Size of the total moment = 0.05 μB per atom
Density of states at the Fermi level = 1.316 states/eV/atom
E_tot = -92.504 eV/cell
Calculated volume = 95.3 Å³ per cell

No. 10
VASP calculation (SCAN) on Ca2ZrSe at its PBEsol-relaxed geometry.

Structure (POSCAR):
```
Ca2ZrSe
1.0
-1.8505 2.1709 -2.4129
-3.7052 0.4429 3.2402
2.2898 4.2209 2.0415
Ca Se Zr
2 1 1
Cartesian
0.2196 3.1959 -0.1857
0.0000 0.0000 0.0000
-2.7779 1.3069 0.4137
-0.7077 2.3319 2.6408
```

Properties
Size of the total moment = 0.00 μB per atom
Density of states at the Fermi level = 0.673 states/eV/atom
E_tot = -70.617 eV/cell
Calculated volume = 96.3 Å³ per cell

No. 11
VASP calculation (SCAN) on CaZrSe4 at its PBEsol-relaxed geometry.

Structure (POSCAR):
```
CaZrSe4
1.0
5.7069 0.0000 0.0000
2.8534 4.9423 0.0000
2.8534 1.6474 4.6597
Se Ca Zr
4 1 1
Cartesian
7.1264 2.4753 1.7503
5.7069 4.9340 1.7503
4.2874 2.4753 1.7503
5.7069 3.2949 4.0684
0.0000 0.0000 0.0000
8.5603 4.9423 3.4947
```

Properties
Size of the total moment = 0.43 μB per atom
Density of states at the Fermi level = 0.716 states/eV/atom
E_tot = -120.286 eV/cell
Calculated volume = 131.4 Å³ per cell

No. 12
VASP calculation (SCAN) on Ca2Si at its PBEsol-relaxed geometry.

Structure (POSCAR):
```
Ca2Si
1.0
-2.4388 2.5466 2.4616
2.3224 -1.7359 4.0967
6.1516 3.9950 -1.7945
Si Ca
2 4
Cartesian
3.1948 4.9342 1.8168
2.8404 -0.1285 2.9470
3.1045 2.2620 0.7357
6.0603 3.3109 2.5790
2.9306 2.5437 4.0281
-0.0251 1.4948 2.1848
```

Properties
Size of the total moment = 0.00 μB per atom
Density of states at the Fermi level = 0.184 states/eV/atom
E_tot = -60.039 eV/cell
Calculated volume = 156.2 Å³ per cell